No. 1
Li2Ni3O6 | GGA-PBEsol | relaxed

abc: 2.854 5.713 6.446
angles: 74.32 77.93 88.06
Atoms (fractional coordinates):
Li 0.159 0.303 0.197
Li 0.841 0.697 0.803
Ni 0.159 0.832 0.169
Ni 0.500 0.500 0.500
Ni 0.841 0.168 0.831
O 0.004 0.279 0.522
O 0.304 0.927 0.861
O 0.379 0.412 0.809
O 0.621 0.588 0.191
O 0.696 0.073 0.139
O 0.996 0.721 0.478

Properties
* uncorrected formation energy: -112.08 kJ per mole of atoms
* ρ: 4.8 g cm⁻³
* volume: 8.99 A^3/atom
* raw total energy: -6.06 eV per atom
* total moment: 1.99 μB per formula unit


No. 2
GeTe2Cl | GGA-PBEsol | relaxed

abc: 10.559 10.559 10.559
angles: 17.61 17.61 17.61
Atoms (fractional coordinates):
Ge 0.000 0.000 0.000
Te 0.088 0.088 0.088
Te 0.912 0.912 0.912
Cl 0.500 0.500 0.500

Properties
* uncorrected formation energy: 14.60 kJ per mole of atoms
* ρ: 6.4 g cm⁻³
* volume: 23.52 A^3/atom
* raw total energy: -3.35 eV per atom
* total moment: 0.00 μB per formula unit


No. 3
Re2PdPtC | GGA-PBEsol | relaxed

abc: 4.688 4.688 4.824
angles: 90.00 90.00 90.00
Atoms (fractional coordinates):
Re 0.000 0.500 0.000
Re 0.500 0.000 0.000
Pd 0.000 0.000 0.500
Pt 0.000 0.000 0.000
C 0.500 0.500 0.500

Properties
* ρ: 10.7 g cm⁻³
* volume: 21.20 A^3/atom
* raw total energy: -6.38 eV per atom
* total moment: 2.36 μB per formula unit
* formation energy: 3.465 eV per atom


No. 4
Cr2SbP | GGA-PBEsol | relaxed

abc: 7.199 7.199 7.199
angles: 135.91 135.91 64.12
Atoms (fractional coordinates):
Cr 0.067 0.625 0.942
Cr 0.375 0.317 0.442
Cr 0.683 0.125 0.058
Cr 0.875 0.933 0.558
Sb 0.250 0.750 0.500
Sb 0.500 0.500 0.000
P 0.000 0.000 0.000
P 0.750 0.250 0.500

Properties
* uncorrected formation energy: 44.57 kJ per mole of atoms
* ρ: 4.8 g cm⁻³
* volume: 22.27 A^3/atom
* raw total energy: -7.25 eV per atom
* total moment: 6.01 μB per formula unit


No. 5
K3MoF6 | GGA-PBEsol | relaxed

abc: 6.341 6.341 6.341
angles: 60.00 60.00 60.00
Atoms (fractional coordinates):
K 0.000 0.000 0.000
K 0.250 0.250 0.250
K 0.750 0.750 0.750
Mo 0.500 0.500 0.500
F 0.273 0.273 0.727
F 0.273 0.727 0.273
F 0.273 0.727 0.727
F 0.727 0.273 0.273
F 0.727 0.273 0.727
F 0.727 0.727 0.273

Properties
* uncorrected formation energy: -248.68 kJ per mole of atoms
* ρ: 3.0 g cm⁻³
* volume: 18.03 A^3/atom
* raw total energy: -5.25 eV per atom
* total moment: 3.00 μB per formula unit


No. 6
TiCrAgS4 | GGA-PBEsol | relaxed

abc: 5.795 3.412 6.347
angles: 90.00 92.22 90.00
Atoms (fractional coordinates):
Ti 0.000 0.000 0.000
Cr 0.500 0.500 0.000
Ag 0.500 0.500 0.500
S 0.174 0.500 0.221
S 0.330 0.000 0.783
S 0.670 0.000 0.217
S 0.826 0.500 0.779

Properties
* uncorrected formation energy: -80.23 kJ per mole of atoms
* ρ: 4.4 g cm⁻³
* volume: 17.91 A^3/atom
* distance to the lowest polymorph of the same formula: 0.09 eV/f.u.
* raw total energy: -6.46 eV per atom
* total moment: 2.89 μB per formula unit


No. 7
ScZnSCl2 | GGA-PBEsol | relaxed

abc: 4.838 4.838 5.034
angles: 90.00 90.00 90.00
Atoms (fractional coordinates):
Sc 0.000 0.000 0.000
Zn 0.500 0.500 0.500
S 0.000 0.000 0.500
Cl 0.000 0.500 0.000
Cl 0.500 0.000 0.000

Properties
* uncorrected formation energy: -97.73 kJ per mole of atoms
* ρ: 3.0 g cm⁻³
* volume: 23.57 A^3/atom
* raw total energy: -4.33 eV per atom
* total moment: 0.00 μB per formula unit


No. 8
Ba2SnSe3F2 | GGA-PBEsol | relaxed

abc: 6.365 19.691 6.416
angles: 90.00 90.00 90.00
Atoms (fractional coordinates):
Ba 0.245 0.073 0.005
Ba 0.245 0.427 0.005
Ba 0.255 0.573 0.505
Ba 0.255 0.927 0.505
Ba 0.745 0.073 0.495
Ba 0.745 0.427 0.495
Ba 0.755 0.573 0.995
Ba 0.755 0.927 0.995
Sn 0.141 0.750 0.909
Sn 0.359 0.250 0.409
Sn 0.641 0.750 0.591
Sn 0.859 0.250 0.091
Se 0.240 0.134 0.514
Se 0.240 0.366 0.514
Se 0.240 0.750 0.516
Se 0.260 0.250 0.016
Se 0.260 0.634 0.014
Se 0.260 0.866 0.014
Se 0.740 0.134 0.986
Se 0.740 0.366 0.986
Se 0.740 0.750 0.984
Se 0.760 0.250 0.484
Se 0.760 0.634 0.486
Se 0.760 0.866 0.486
F 0.002 0.002 0.746
F 0.002 0.498 0.746
F 0.498 0.502 0.246
F 0.498 0.998 0.246
F 0.502 0.002 0.754
F 0.502 0.498 0.754
F 0.998 0.502 0.254
F 0.998 0.998 0.254

Properties
* uncorrected formation energy: -206.47 kJ per mole of atoms
* ρ: 5.5 g cm⁻³
* volume: 25.13 A^3/atom
* raw total energy: -5.14 eV per atom
* total moment: 0.00 μB per formula unit